(1)
This record from Alexandria via LeMat-Bulk describes Al2TlCo after structural relaxation. The functional is PBE.

Cell: 4.952 4.952 4.952 Å, 132.11 132.11 70.06°
Each line ends with the local moment (μB).
Fractional positions:
Al: 0.500 0.500 0.000  0.00
Al: 0.000 0.000 0.000  0.00
Tl: 0.750 0.250 0.500  0.01
Co: 0.250 0.750 0.500  0.67

Values from the calculation:
Its density of states at the Fermi level is 2.25 states/eV/f.u.

***

(2)
This record from Alexandria via LeMat-Bulk describes AlTl2Co2 after structural relaxation. The functional is PBE.

Cell: 3.357 3.357 8.991 Å, 79.24 79.24 90.00°
Each line ends with the local moment (μB).
Fractional positions:
Co: 0.750 0.250 0.500  1.69
Co: 0.250 0.750 0.500  1.69
Tl: 0.618 0.618 0.764  -0.02
Tl: 0.382 0.382 0.236  -0.02
Al: 0.000 0.000 0.000  0.00

Values from the calculation:
Its density of states at the Fermi level is 3.32 states/eV/f.u.

***

(3)
This record from Alexandria via LeMat-Bulk describes AlTlCo3 after structural relaxation. The functional is PBE.

Cell: 4.332 4.332 4.332 Å, 90.00 90.00 90.00°
Each line ends with the local moment (μB).
Fractional positions:
Al: 0.000 0.000 0.000  -0.05
Co: 0.500 0.000 0.000  0.79
Co: 0.000 0.000 0.500  1.05
Co: 0.000 0.500 0.000  0.92
Tl: 0.500 0.500 0.500  -0.04

Values from the calculation:
Its density of states at the Fermi level is 10.60 states/eV/f.u.

***

(4)
This record from Alexandria via LeMat-Bulk describes Al2TlCo after structural relaxation. The functional is PBE.

Cell: 4.496 4.496 6.640 Å, 70.72 70.72 37.30°
Fractional positions:
Tl: 0.839 0.839 0.738
Al: 0.193 0.193 0.348
Al: 0.002 0.002 0.058
Co: 0.467 0.467 0.356

Values from the calculation:
Its density of states at the Fermi level is 2.75 states/eV/f.u.

***

(5)
This record from Alexandria via LeMat-Bulk describes Al2TlCo2 after structural relaxation. The functional is PBE.

Cell: 3.716 3.716 6.171 Å, 72.48 72.48 90.00°
Fractional positions:
Co: 0.393 0.393 0.214
Co: 0.607 0.607 0.786
Al: 0.750 0.250 0.500
Al: 0.250 0.750 0.500
Tl: 0.000 0.000 0.000

Values from the calculation:
Its density of states at the Fermi level is 1.91 states/eV/f.u.

***

(6)
This record from Alexandria via LeMat-Bulk describes AlTlCo after structural relaxation. The functional is PBE.

Cell: 4.259 4.259 4.259 Å, 60.00 60.00 60.00°
Fractional positions:
Co: 0.750 0.750 0.750
Tl: 0.000 0.000 0.000
Al: 0.500 0.500 0.500

Values from the calculation:
Its density of states at the Fermi level is 2.60 states/eV/f.u.

***

Number 1: ΔE to the lowest computed polymorph 0.348 eV/atom, magnetic moment 0.64 Bohr magnetons per cell. Number 2: ΔE to the lowest computed polymorph 0.000 eV/atom, magnetic moment 3.26 Bohr magnetons per cell. Number 3: ΔE to the lowest computed polymorph 0.000 eV/atom, magnetic moment 2.45 Bohr magnetons per cell. Number 4: ΔE to the lowest computed polymorph 0.138 eV/atom, magnetic moment 0.00 Bohr magnetons per cell. Number 5: ΔE to the lowest computed polymorph 0.101 eV/atom, magnetic moment 0.00 Bohr magnetons per cell. Number 6: ΔE to the lowest computed polymorph 0.082 eV/atom, magnetic moment 0.00 Bohr magnetons per cell.